Version a
Compound: Li2ZrRh
Source: Alexandria
Functional: PBEsol
Structure: relaxed

Unit cell a=3.3561 b=3.3561 c=5.2320 alpha=90.00 beta=90.00 gamma=90.00
Sites, in units of the cell vectors:
Li: 0.0000 0.0000 0.2064
Li: 0.0000 0.0000 0.7936
Zr: 0.5000 0.5000 0.5000
Rh: 0.5000 0.5000 0.0000

Version b
Compound: Li2ZrRh
Source: Alexandria
Functional: PBEsol
Structure: relaxed

Unit cell a=10.5786 b=10.5786 c=10.5786 alpha=160.09 beta=160.09 gamma=28.30
Sites, in units of the cell vectors:
Li: 0.0871 0.6250 0.9621
Li: 0.3750 0.3371 0.4621
Li: 0.6629 0.1250 0.0379
Li: 0.8750 0.9129 0.5379
Zr: 0.2500 0.7500 0.5000
Zr: 0.5000 0.5000 0.0000
Rh: 0.0000 0.0000 0.0000
Rh: 0.7500 0.2500 0.5000

Which is the most stable structure? version b is the most stable.